(1)
This record from Alexandria describes ZrCoNi2 after structural relaxation. The functional is PBE-GGA.

Summary:
The value obtained for the total magnetization is 1.31 μB per formula unit. The space group is I4/mmm. Its volume is 13.33 Å³ per atom. The formation energy is -0.27 eV per atom. The total energy comes out at -7.072 eV/atom.

abc: 4.6531 4.6531 3.7288
angles: 66.38 66.38 47.23
Last column: nearest neighbours and their distance in Å.
Fractional coordinates of all 4 atoms:
Ni 0.0001 0.0001 0.0000  4 Ni 2.64, 4 Co 2.67, 4 Zr 2.67
Ni 0.4999 0.4999 0.5000  4 Ni 2.64, 4 Co 2.67, 4 Zr 2.67
Co 0.2500 0.2500 0.2500  4 Zr 2.64, 8 Ni 2.67
Zr 0.7500 0.7500 0.7500  4 Co 2.64, 8 Ni 2.67


(2)
This record from Alexandria describes HgMo3 after structural relaxation. The functional is PBE-GGA.

Summary:
The value obtained for the total magnetization is 0.00 μB per formula unit. The relative energy among the computed polymorphs is 0.106 eV per atom. The space group is Pmmn. Its volume is 16.89 Å³ per atom. The formation energy is 0.43 eV per atom. The total energy comes out at -7.773 eV/atom.

abc: 4.5928 5.1011 5.7686
angles: 90.00 90.00 90.00
Last column: nearest neighbours and their distance in Å.
Fractional coordinates of all 8 atoms:
Mo 0.5000 0.1562 0.2632  7 Mo 2.73-3.04, 4 Hg 2.89-2.91
Mo 0.5000 0.1562 0.7368  7 Mo 2.73-3.04, 4 Hg 2.89-2.91
Mo 0.5000 0.7000 0.0000  6 Mo 2.77-2.78, 4 Hg 2.89-2.93
Mo 0.0000 0.3000 0.5000  6 Mo 2.77-2.78, 4 Hg 2.89-2.93
Mo 0.0000 0.8438 0.7632  7 Mo 2.73-3.04, 4 Hg 2.89-2.91
Mo 0.0000 0.8438 0.2368  7 Mo 2.73-3.04, 4 Hg 2.89-2.91
Hg 0.5000 0.6568 0.5000  12 Mo 2.89-2.93
Hg 0.0000 0.3432 0.0000  12 Mo 2.89-2.93


(3)
This record from Alexandria describes LiCeIr2 after structural relaxation. The functional is PBE-GGA.

Summary:
The value obtained for the total magnetization is 0.00 μB per formula unit. The space group is P4/mmm. Its volume is 17.36 Å³ per atom. The formation energy is -0.36 eV per atom. The total energy comes out at -6.752 eV/atom.

abc: 3.4381 3.4381 5.8751
angles: 90.00 90.00 90.00
Last column: nearest neighbours and their distance in Å.
Fractional coordinates of all 4 atoms:
Li 0.5000 0.5000 0.0000  8 Ir 2.78, 2 Ce 2.94
Ce 0.5000 0.5000 0.5000  8 Ir 2.90, 2 Li 2.94
Ir 0.0000 0.0000 0.7691  1 Ir 2.71, 4 Li 2.78, 4 Ce 2.90
Ir 0.0000 0.0000 0.2309  1 Ir 2.71, 4 Li 2.78, 4 Ce 2.90


Which of these has the lowest volume? ZrCoNi2


Which of these has the highest volume? LiCeIr2


What is the volume in the third record? 17.36 Å³ per atom


Copy entry 2 word for word.
This record from Alexandria describes HgMo3 after structural relaxation. The functional is PBE-GGA.

Summary:
The value obtained for the total magnetization is 0.00 μB per formula unit. The relative energy among the computed polymorphs is 0.106 eV per atom. The space group is Pmmn. Its volume is 16.89 Å³ per atom. The formation energy is 0.43 eV per atom. The total energy comes out at -7.773 eV/atom.

abc: 4.5928 5.1011 5.7686
angles: 90.00 90.00 90.00
Last column: nearest neighbours and their distance in Å.
Fractional coordinates of all 8 atoms:
Mo 0.5000 0.1562 0.2632  7 Mo 2.73-3.04, 4 Hg 2.89-2.91
Mo 0.5000 0.1562 0.7368  7 Mo 2.73-3.04, 4 Hg 2.89-2.91
Mo 0.5000 0.7000 0.0000  6 Mo 2.77-2.78, 4 Hg 2.89-2.93
Mo 0.0000 0.3000 0.5000  6 Mo 2.77-2.78, 4 Hg 2.89-2.93
Mo 0.0000 0.8438 0.7632  7 Mo 2.73-3.04, 4 Hg 2.89-2.91
Mo 0.0000 0.8438 0.2368  7 Mo 2.73-3.04, 4 Hg 2.89-2.91
Hg 0.5000 0.6568 0.5000  12 Mo 2.89-2.93
Hg 0.0000 0.3432 0.0000  12 Mo 2.89-2.93